one:
Compound: Tb2SiO
Source: Alexandria
Functional: GGA-PBE
Structure: relaxed

Its magnetic moment is 0.0 μB per formula unit. The volume comes out at 18.99 Å³ per atom. Its space group is R3m, No. 160.

Cell: 3.4784 3.4784 21.7429 Å, 90.00 90.00 120.00°
Atoms (fractional coordinates):
Tb1 0.0000 0.0000 0.0000
Tb2 0.0000 0.0000 0.1456
Tb3 0.3333 0.6667 0.6667
Tb4 0.3333 0.6667 0.8123
Tb5 0.6667 0.3333 0.3333
Tb6 0.6667 0.3333 0.4790
Si1 0.0000 0.0000 0.5723
Si2 0.3333 0.6667 0.2390
Si3 0.6667 0.3333 0.9057
O1 0.0000 0.0000 0.7433
O2 0.3333 0.6667 0.4100
O3 0.6667 0.3333 0.0767

***

two:
Compound: Tb2SiO
Source: Alexandria
Functional: GGA-PBE
Structure: relaxed

Its magnetic moment is 0.0 μB per formula unit. The volume comes out at 21.36 Å³ per atom. Its space group is P2/c, No. 13.

Cell: 5.7436 5.6549 11.6869 Å, 90.00 115.81 90.00°
Atoms (fractional coordinates):
Tb1 0.0943 0.2192 0.1071
Tb2 0.0943 0.7808 0.6071
Tb3 0.3149 0.2327 0.8586
Tb4 0.3149 0.7673 0.3586
Tb5 0.6851 0.2327 0.6414
Tb6 0.6851 0.7673 0.1414
Tb7 0.9057 0.2192 0.3929
Tb8 0.9057 0.7808 0.8929
Si1 0.3899 0.2680 0.3740
Si2 0.3899 0.7320 0.8740
Si3 0.6101 0.2680 0.1260
Si4 0.6101 0.7320 0.6260
O1 0.0538 0.1789 0.6226
O2 0.0538 0.8211 0.1226
O3 0.9462 0.1789 0.8774
O4 0.9462 0.8211 0.3774

***

Verdict on stability: two comes out on top.

***

one:
Compound: SiTc2O
Source: Alexandria
Functional: GGA-PBE
Structure: relaxed

Its magnetic moment is 0.0 μB per formula unit. The volume comes out at 12.23 Å³ per atom. Its space group is Fm-3m, No. 225.

Cell: 5.8052 5.8052 5.8052 Å, 90.00 90.00 90.00°
Atoms (fractional coordinates):
Si1 0.0000 0.0000 0.0000
Si2 0.0000 0.5000 0.5000
Si3 0.5000 0.0000 0.5000
Si4 0.5000 0.5000 0.0000
Tc1 0.2500 0.2500 0.2500
Tc2 0.2500 0.2500 0.7500
Tc3 0.2500 0.7500 0.2500
Tc4 0.2500 0.7500 0.7500
Tc5 0.7500 0.2500 0.2500
Tc6 0.7500 0.2500 0.7500
Tc7 0.7500 0.7500 0.2500
Tc8 0.7500 0.7500 0.7500
O1 0.0000 0.0000 0.5000
O2 0.0000 0.5000 0.0000
O3 0.5000 0.0000 0.0000
O4 0.5000 0.5000 0.5000

***

two:
Compound: SiTc2O
Source: Alexandria
Functional: GGA-PBE
Structure: relaxed

Its magnetic moment is 0.0 μB per formula unit. The volume comes out at 15.41 Å³ per atom. Its space group is I-42d, No. 122.

Cell: 5.2117 5.2117 9.0745 Å, 90.00 90.00 90.00°
Atoms (fractional coordinates):
Si1 0.0000 0.0000 0.0000
Si2 0.0000 0.5000 0.2500
Si3 0.5000 0.0000 0.7500
Si4 0.5000 0.5000 0.5000
Tc1 0.1872 0.2500 0.6250
Tc2 0.2500 0.6872 0.8750
Tc3 0.2500 0.8128 0.3750
Tc4 0.3128 0.2500 0.1250
Tc5 0.6872 0.7500 0.1250
Tc6 0.7500 0.1872 0.3750
Tc7 0.7500 0.3128 0.8750
Tc8 0.8128 0.7500 0.6250
O1 0.0000 0.0000 0.5000
O2 0.0000 0.5000 0.7500
O3 0.5000 0.0000 0.2500
O4 0.5000 0.5000 0.0000

***

Verdict on stability: one comes out on top.

***

one:
Compound: SiTeO2
Source: Alexandria
Functional: GGA-PBE
Structure: relaxed

Its magnetic moment is 0.0 μB per formula unit. The volume comes out at 13.80 Å³ per atom. Its space group is R-3m, No. 166.

Cell: 3.0239 3.0239 20.9100 Å, 90.00 90.00 120.00°
Atoms (fractional coordinates):
Si1 0.0000 0.0000 0.0000
Si2 0.3333 0.6667 0.6667
Si3 0.6667 0.3333 0.3333
Te1 0.0000 0.0000 0.5000
Te2 0.3333 0.6667 0.1667
Te3 0.6667 0.3333 0.8333
O1 0.0000 0.0000 0.0797
O2 0.0000 0.0000 0.9203
O3 0.3333 0.6667 0.5870
O4 0.3333 0.6667 0.7463
O5 0.6667 0.3333 0.2537
O6 0.6667 0.3333 0.4130

***

two:
Compound: SiTeO2
Source: Alexandria
Functional: GGA-PBE
Structure: relaxed

Its magnetic moment is 0.0 μB per formula unit. The volume comes out at 14.23 Å³ per atom. Its space group is Fd-3m, No. 227.

Cell: 5.4404 5.4404 5.4404 Å, 60.00 60.00 60.00°
Atoms (fractional coordinates):
Si1 0.1250 0.1250 0.1250
Si2 0.8750 0.8750 0.8750
Te1 0.3750 0.3750 0.3750
Te2 0.6250 0.6250 0.6250
O1 0.0000 0.0000 0.0000
O2 0.0000 0.0000 0.5000
O3 0.0000 0.5000 0.0000
O4 0.5000 0.0000 0.0000

***

Verdict on stability: two comes out on top.

***

one:
Compound: Ti2Si2O
Source: Alexandria
Functional: GGA-PBE
Structure: relaxed

Its magnetic moment is 0.0 μB per formula unit. The volume comes out at 16.07 Å³ per atom. Its space group is I4/mmm, No. 139.

Cell: 5.0664 5.0664 6.2615 Å, 90.00 90.00 90.00°
Atoms (fractional coordinates):
Ti1 0.0000 0.5000 0.2500
Ti2 0.0000 0.5000 0.7500
Ti3 0.5000 0.0000 0.2500
Ti4 0.5000 0.0000 0.7500
Si1 0.0000 0.0000 0.2143
Si2 0.0000 0.0000 0.7857
Si3 0.5000 0.5000 0.2857
Si4 0.5000 0.5000 0.7143
O1 0.0000 0.0000 0.5000
O2 0.5000 0.5000 0.0000

***

two:
Compound: Ti2Si2O
Source: Alexandria
Functional: GGA-PBE
Structure: relaxed

Its magnetic moment is 0.0 μB per formula unit. The volume comes out at 14.40 Å³ per atom. Its space group is P4/mbm, No. 127.

Cell: 6.2895 6.2895 3.6402 Å, 90.00 90.00 90.00°
Atoms (fractional coordinates):
Ti1 0.1827 0.3173 0.0000
Ti2 0.3173 0.8173 0.0000
Ti3 0.6827 0.1827 0.0000
Ti4 0.8173 0.6827 0.0000
Si1 0.1281 0.6281 0.5000
Si2 0.3719 0.1281 0.5000
Si3 0.6281 0.8719 0.5000
Si4 0.8719 0.3719 0.5000
O1 0.0000 0.0000 0.5000
O2 0.5000 0.5000 0.5000

***

Verdict on stability: two comes out on top.

***

one:
Compound: TiSi2O6
Source: Alexandria
Functional: GGA-PBE
Structure: relaxed

Its magnetic moment is 0.0 μB per formula unit. The volume comes out at 9.64 Å³ per atom. Its space group is R3, No. 146.

Cell: 5.2732 5.2732 5.2732 Å, 53.03 53.03 53.03°
Atoms (fractional coordinates):
Ti1 0.0000 0.0000 0.0000
Si1 0.4933 0.4933 0.4933
Si2 0.8076 0.8076 0.8076
O1 0.0793 0.7247 0.4228
O2 0.2108 0.6199 0.8390
O3 0.4228 0.0793 0.7247
O4 0.6199 0.8390 0.2108
O5 0.7247 0.4228 0.0793
O6 0.8390 0.2108 0.6199

***

two:
Compound: TiSi2O6
Source: Alexandria
Functional: GGA-PBE
Structure: relaxed

Its magnetic moment is 0.0 μB per formula unit. The volume comes out at 12.07 Å³ per atom. Its space group is C2/c, No. 15.

Cell: 6.5774 6.5774 5.3694 Å, 104.69 104.69 84.27°
Atoms (fractional coordinates):
Ti1 0.1100 0.8900 0.7500
Ti2 0.8900 0.1100 0.2500
Si1 0.2143 0.3798 0.7471
Si2 0.3798 0.2143 0.2471
Si3 0.6202 0.7857 0.7529
Si4 0.7857 0.6202 0.2529
O1 0.0474 0.1853 0.6310
O2 0.1052 0.6170 0.7743
O3 0.1853 0.0474 0.1310
O4 0.3483 0.3656 0.0415
O5 0.3656 0.3483 0.5415
O6 0.3830 0.8948 0.7257
O7 0.6170 0.1052 0.2743
O8 0.6344 0.6517 0.4585
O9 0.6517 0.6344 0.9585
O10 0.8147 0.9526 0.8690
O11 0.8948 0.3830 0.2257
O12 0.9526 0.8147 0.3690

***

Verdict on stability: two comes out on top.

***

one:
Compound: Tl6Si2O7
Source: Alexandria
Functional: GGA-PBE
Structure: relaxed

Its magnetic moment is 0.0 μB per formula unit. The volume comes out at 23.09 Å³ per atom. Its space group is P-3, No. 147.

Cell: 9.9078 9.9078 8.1497 Å, 90.00 90.00 120.00°
Atoms (fractional coordinates):
Tl1 0.0340 0.3542 0.3689
Tl2 0.0528 0.3631 0.8799
Tl3 0.3103 0.9472 0.8799
Tl4 0.3202 0.9660 0.3689
Tl5 0.3542 0.3202 0.6311
Tl6 0.3631 0.3103 0.1201
Tl7 0.6369 0.6897 0.8799
Tl8 0.6458 0.6798 0.3689
Tl9 0.6798 0.0340 0.6311
Tl10 0.6897 0.0528 0.1201
Tl11 0.9472 0.6369 0.1201
Tl12 0.9660 0.6458 0.6311
Si1 0.3333 0.6667 0.1698
Si2 0.3333 0.6667 0.5803
Si3 0.6667 0.3333 0.4197
Si4 0.6667 0.3333 0.8302
O1 0.1504 0.5534 0.1149
O2 0.1516 0.5485 0.6359
O3 0.3333 0.6667 0.3752
O4 0.3968 0.8484 0.6359
O5 0.4030 0.8496 0.1149
O6 0.4466 0.5970 0.1149
O7 0.4515 0.6032 0.6359
O8 0.5485 0.3968 0.3641
O9 0.5534 0.4030 0.8851
O10 0.5970 0.1504 0.8851
O11 0.6032 0.1516 0.3641
O12 0.6667 0.3333 0.6248
O13 0.8484 0.4515 0.3641
O14 0.8496 0.4466 0.8851

***

two:
Compound: Tl6Si2O7
Source: Alexandria
Functional: GGA-PBE
Structure: relaxed

Its magnetic moment is 0.0 μB per formula unit. The volume comes out at 24.85 Å³ per atom. Its space group is P3, No. 143.

Cell: 9.3745 9.3745 4.8984 Å, 90.00 90.00 120.00°
Atoms (fractional coordinates):
Tl1 0.0079 0.6254 0.0000
Tl2 0.2692 0.0263 0.4687
Tl3 0.3746 0.3825 0.0000
Tl4 0.6175 0.9921 0.0000
Tl5 0.7571 0.7308 0.4687
Tl6 0.9737 0.2429 0.4687
Si1 0.0000 0.0000 0.9507
Si2 0.3333 0.6667 0.5101
O1 0.0000 0.0000 0.6122
O2 0.0903 0.1942 0.0538
O3 0.1039 0.9097 0.0538
O4 0.1880 0.7084 0.5099
O5 0.2916 0.4795 0.5099
O6 0.5205 0.8120 0.5099
O7 0.8058 0.8961 0.0538

***

Verdict on stability: one comes out on top.

***

one:
Compound: Tm2SiO
Source: Alexandria
Functional: GGA-PBE
Structure: relaxed

Its magnetic moment is 0.0 μB per formula unit. The volume comes out at 20.12 Å³ per atom. Its space group is P2/c, No. 13.

Cell: 5.6552 5.5622 11.3433 Å, 90.00 115.53 90.00°
Atoms (fractional coordinates):
Tm1 0.0878 0.2202 0.1051
Tm2 0.0878 0.7798 0.6051
Tm3 0.3126 0.2272 0.8575
Tm4 0.3126 0.7728 0.3575
Tm5 0.6874 0.2272 0.6425
Tm6 0.6874 0.7728 0.1425
Tm7 0.9122 0.2202 0.3949
Tm8 0.9122 0.7798 0.8949
Si1 0.3928 0.2733 0.3731
Si2 0.3928 0.7267 0.8731
Si3 0.6072 0.2733 0.1269
Si4 0.6072 0.7267 0.6269
O1 0.0515 0.1757 0.6220
O2 0.0515 0.8243 0.1220
O3 0.9485 0.1757 0.8780
O4 0.9485 0.8243 0.3780

***

two:
Compound: Tm2SiO
Source: Alexandria
Functional: GGA-PBE
Structure: relaxed

Its magnetic moment is 0.0 μB per formula unit. The volume comes out at 28.42 Å³ per atom. Its space group is R-3m, No. 166.

Cell: 4.3925 4.3925 20.4120 Å, 90.00 90.00 120.00°
Atoms (fractional coordinates):
Tm1 0.0000 0.0000 0.0981
Tm2 0.0000 0.0000 0.9019
Tm3 0.3333 0.6667 0.5686
Tm4 0.3333 0.6667 0.7648
Tm5 0.6667 0.3333 0.2352
Tm6 0.6667 0.3333 0.4314
Si1 0.0000 0.0000 0.5000
Si2 0.3333 0.6667 0.1667
Si3 0.6667 0.3333 0.8333
O1 0.0000 0.0000 0.0000
O2 0.3333 0.6667 0.6667
O3 0.6667 0.3333 0.3333

***

Verdict on stability: one comes out on top.

***

one:
Compound: Tm2SiO5
Source: Alexandria
Functional: GGA-PBE
Structure: relaxed

Its magnetic moment is 0.0 μB per formula unit. The volume comes out at 12.60 Å³ per atom. Its space group is P2_1/c, No. 14.

Cell: 9.1632 6.6857 6.7048 Å, 90.00 101.11 90.00°
Atoms (fractional coordinates):
Tm1 0.0343 0.1179 0.2279
Tm2 0.0343 0.3821 0.7279
Tm3 0.3532 0.1416 0.0006
Tm4 0.3532 0.3584 0.5006
Tm5 0.6468 0.6416 0.4994
Tm6 0.6468 0.8584 0.9994
Tm7 0.9657 0.6179 0.2721
Tm8 0.9657 0.8821 0.7721
Si1 0.2973 0.5971 0.9941
Si2 0.2973 0.9029 0.4941
Si3 0.7027 0.0971 0.5059
Si4 0.7027 0.4029 0.0059
O1 0.1069 0.1224 0.9248
O2 0.1069 0.3776 0.4248
O3 0.1152 0.6464 0.9672
O4 0.1152 0.8536 0.4672
O5 0.2897 0.0614 0.2982
O6 0.2897 0.4386 0.7982
O7 0.3511 0.0638 0.6778
O8 0.3511 0.4362 0.1778
O9 0.4000 0.7039 0.4999
O10 0.4000 0.7961 0.9999
O11 0.6000 0.2039 0.0001
O12 0.6000 0.2961 0.5001
O13 0.6489 0.5638 0.8222
O14 0.6489 0.9362 0.3222
O15 0.7103 0.5614 0.2018
O16 0.7103 0.9386 0.7018
O17 0.8848 0.1464 0.5328
O18 0.8848 0.3536 0.0328
O19 0.8931 0.6224 0.5752
O20 0.8931 0.8776 0.0752

***

two:
Compound: Tm2SiO5
Source: Alexandria
Functional: GGA-PBE
Structure: relaxed

Its magnetic moment is 0.0 μB per formula unit. The volume comes out at 12.15 Å³ per atom. Its space group is Pnma, No. 62.

Cell: 10.0329 3.6126 10.7313 Å, 90.00 90.00 90.00°
Atoms (fractional coordinates):
Tm1 0.1036 0.2500 0.2164
Tm2 0.1392 0.2500 0.5518
Tm3 0.3608 0.7500 0.0518
Tm4 0.3964 0.7500 0.7164
Tm5 0.6036 0.2500 0.2836
Tm6 0.6392 0.2500 0.9482
Tm7 0.8608 0.7500 0.4482
Tm8 0.8964 0.7500 0.7836
Si1 0.1800 0.2500 0.8731
Si2 0.3200 0.7500 0.3731
Si3 0.6800 0.2500 0.6269
Si4 0.8200 0.7500 0.1269
O1 0.0089 0.7500 0.6059
O2 0.0195 0.2500 0.8449
O3 0.2223 0.2500 0.0272
O4 0.2251 0.7500 0.8756
O5 0.2377 0.7500 0.2323
O6 0.2623 0.2500 0.7323
O7 0.2749 0.2500 0.3756
O8 0.2777 0.7500 0.5272
O9 0.4805 0.7500 0.3449
O10 0.4911 0.2500 0.1059
O11 0.5089 0.7500 0.8941
O12 0.5195 0.2500 0.6551
O13 0.7223 0.2500 0.4728
O14 0.7251 0.7500 0.6244
O15 0.7377 0.7500 0.2677
O16 0.7623 0.2500 0.7677
O17 0.7749 0.2500 0.1244
O18 0.7777 0.7500 0.9728
O19 0.9805 0.7500 0.1551
O20 0.9911 0.2500 0.3941

***

Verdict on stability: one comes out on top.